Computed, not measured: a relaxed Sr2ScGaHg crystal at the PBEsol level of DFT.

a b c (Å): 6.076 6.076 4.887
angles (deg): 90.00 90.00 90.00
Space group P4/mmm (No. 123)
One atom of each set of equivalent atoms:
Sr  0.000  0.500  0.000 x2
Sc  0.000  0.000  0.500 x1
Ga  0.500  0.500  0.500 x1
Hg  0.500  0.500  0.000 x1

DOS at the Fermi energy	7.04	states/eV/cell
crystal system	tetragonal
DFT formation energy	277	meV per atom